This record from Alexandria via LeMat-Bulk describes an optimized crystal structure of Zr2Al3Si. The functional is GGA-PBE.

POSCAR file:
```
Zr2Al3Si
1.0
-6.363 -1.190 -1.714
6.239 0.552 -2.370
0.575 -3.937 0.597
Zr Al Si
2 3 1
Cartesian
4.673 -1.672 -1.975 Zr
-4.222 -2.902 -1.512 Zr
2.149 -0.013 -2.157 Al
-2.273 -0.624 -1.927 Al
0.225 -2.287 -1.743 Al
0.000 0.000 0.000 Si
```

Computed properties:
* calculated density: 4.57 g/cm³
* M_tot: 0.000 μB/f.u.
* excess energy over the best structure of this formula in the dataset: 0 meV/atom
* raw formation energy: -0.504 eV per atom
* energy: -6.13 eV/atom
* space group: No. 65

---

This record from Alexandria via LeMat-Bulk describes an optimized crystal structure of Zr4AlSi2. The functional is GGA-PBE.

POSCAR file:
```
Zr4AlSi2
1.0
2.318 -4.015 0.000
2.318 4.015 0.000
0.000 0.000 8.951
Zr Al Si
4 1 2
Cartesian
2.318 1.338 7.326 Zr
2.318 -1.338 1.626 Zr
2.318 1.338 3.623 Zr
2.318 -1.338 5.329 Zr
0.000 0.000 4.476 Al
2.318 1.338 1.015 Si
2.318 -1.338 7.936 Si
```

Computed properties:
* calculated density: 4.46 g/cm³
* M_tot: 0.000 μB/f.u.
* excess energy over the best structure of this formula in the dataset: 541 meV/atom
* raw formation energy: 0.005 eV per atom
* energy: -6.96 eV/atom
* space group: No. 164

---

This record from Alexandria via LeMat-Bulk describes an optimized crystal structure of ZrAl2Si. The functional is GGA-PBE.

POSCAR file:
```
ZrAl2Si
1.0
-1.730 2.112 2.935
1.657 -2.429 2.724
3.343 2.485 0.182
Si Al Zr
1 2 1
Cartesian
0.807 2.299 1.559 Si
0.000 0.000 0.000 Al
-0.036 -0.159 2.830 Al
2.500 0.028 1.453 Zr
```

Computed properties:
* calculated density: 4.29 g/cm³
* M_tot: 0.000 μB/f.u.
* raw formation energy: -0.364 eV per atom
* energy: -5.73 eV/atom
* space group: No. 123

---

This record from Alexandria via LeMat-Bulk describes an optimized crystal structure of ZrAl2Si3. The functional is GGA-PBE.

POSCAR file:
```
ZrAl2Si3
1.0
1.911 -6.606 0.000
1.911 6.606 0.000
0.000 0.000 3.845
Zr Al Si
1 2 3
Cartesian
0.000 0.000 0.000 Zr
1.911 4.285 1.923 Al
1.911 -4.285 1.923 Al
1.911 2.139 0.000 Si
1.911 -2.139 0.000 Si
1.911 0.000 1.923 Si
```

Computed properties:
* calculated density: 3.93 g/cm³
* M_tot: 0.000 μB/f.u.
* excess energy over the best structure of this formula in the dataset: 12 meV/atom
* raw formation energy: -0.155 eV per atom
* energy: -5.54 eV/atom
* space group: No. 65

---

This record from Alexandria via LeMat-Bulk describes an optimized crystal structure of ZrAl5Si2. The functional is GGA-PBE.

POSCAR file:
```
ZrAl5Si2
1.0
-2.044 0.213 6.133
-3.268 5.569 -0.376
0.336 -6.245 -1.650
Zr Al Si
1 5 2
Cartesian
0.000 0.000 0.000 Zr
-0.854 -3.016 2.242 Al
-2.740 -1.360 1.172 Al
-2.235 0.897 2.934 Al
-3.741 2.537 4.567 Al
-1.234 -3.000 -0.460 Al
-2.308 -1.433 3.818 Si
-2.667 0.970 0.289 Si
```

Computed properties:
* calculated density: 3.44 g/cm³
* M_tot: 0.000 μB/f.u.
* excess energy over the best structure of this formula in the dataset: 159 meV/atom
* raw formation energy: 0.022 eV per atom
* energy: -4.74 eV/atom
* space group: No. 71

---

This record from Alexandria via LeMat-Bulk describes an optimized crystal structure of ZrAl2Si. The functional is GGA-PBE.

POSCAR file:
```
ZrAl2Si
1.0
-9.327 -1.577 3.461
-6.106 -3.589 7.163
-7.043 1.630 7.015
Si Al Zr
3 6 3
Cartesian
-3.739 -0.588 2.934 Si
-18.737 -2.948 14.705 Si
-16.371 0.053 10.476 Si
-9.676 -2.896 6.847 Al
-8.529 -1.287 8.630 Al
-10.146 -0.278 6.772 Al
-12.801 -0.641 10.793 Al
-12.331 -3.258 10.867 Al
-13.947 -2.249 9.010 Al
-7.453 -1.173 5.849 Zr
-15.024 -2.363 11.790 Zr
-11.238 -1.768 8.820 Zr
```

Computed properties:
* calculated density: 3.69 g/cm³
* M_tot: 0.000 μB/f.u.
* raw formation energy: 0.033 eV per atom
* energy: -5.33 eV/atom
* space group: No. 166

---

This record from Alexandria via LeMat-Bulk describes an optimized crystal structure of Zr2AlSi3. The functional is GGA-PBE.

POSCAR file:
```
Zr2AlSi3
1.0
-0.611 -3.901 -4.650
5.523 1.116 2.339
-0.811 -4.994 4.295
Si Al Zr
6 2 4
Cartesian
4.034 -2.955 4.081 Si
1.088 -3.550 2.834 Si
3.708 -5.036 1.601 Si
0.067 -4.824 -2.098 Si
0.393 -2.743 0.383 Si
3.013 -4.229 -0.850 Si
3.182 -2.380 1.578 Al
0.919 -5.399 0.406 Al
0.000 0.000 0.000 Zr
-0.305 -1.951 -2.325 Zr
2.761 0.558 1.170 Zr
2.456 -1.393 -1.156 Zr
```

Computed properties:
* calculated density: 4.56 g/cm³
* M_tot: 0.000 μB/f.u.
* excess energy over the best structure of this formula in the dataset: 477 meV/atom
* raw formation energy: -0.069 eV per atom
* energy: -6.25 eV/atom
* space group: No. 164

---

This record from Alexandria via LeMat-Bulk describes an optimized crystal structure of Zr3AlSi2. The functional is GGA-PBE.

POSCAR file:
```
Zr3AlSi2
1.0
-1.040 -1.437 6.239
-1.753 -4.191 -4.629
3.421 -1.643 0.192
Zr Al Si
3 1 2
Cartesian
1.191 -1.540 3.215 Zr
0.834 -2.917 -2.219 Zr
0.314 -3.636 0.901 Zr
0.000 0.000 0.000 Al
-1.515 -3.273 -1.007 Si
-1.278 -2.355 2.616 Si
```

Computed properties:
* calculated density: 4.28 g/cm³
* M_tot: 0.000 μB/f.u.
* excess energy over the best structure of this formula in the dataset: 512 meV/atom
* raw formation energy: -0.033 eV per atom
* energy: -6.74 eV/atom
* space group: No. 191